This record from Alexandria via LeMat-Bulk describes crystalline YWSe2 at its relaxed geometry. The functional is PBE.

electronic total energy: -6.900 eV per atom
relative energy among the computed polymorphs: 91 kJ/mol of formula units
V: 83.8 Å³/cell
total magnetic moment: 0.000 μB/atom
formation energy from raw total energies: -1.2 eV/f.u.
space-group type: P2/m, No. 10
DOS at the Fermi energy: 0.70 states/eV per atom
mass density: 8.5 g cm⁻³

Unit cell a=4.0824 b=3.4449 c=5.9609 alpha=87.78 beta=90.00 gamma=90.00
With the nearest neighbours (Å) after each atom.
Fractional positions:
Se (0.0000, 0.1432, 0.0093)  2 W 2.53
Se (0.0000, 0.3568, 0.4907)  2 W 2.53
W (0.5000, 0.2500, 0.2500)  4 Se 2.53
Y (0.5000, 0.7500, 0.7500)  8 Se 2.92-3.27